Mg2NiSbO6 | PBE with a Hubbard U | optimized geometry

Cell: 7.513 5.268 5.336 Å, 85.83 90.00 90.00°
Last column: magnetic moment on the atom in μB.
Fractional positions:
O 0.250 0.388 0.076  -0.20
O 0.938 0.333 0.322  -0.08
O 0.931 0.164 0.806  -0.01
O 0.438 0.667 0.678  -0.08
O 0.569 0.164 0.806  -0.01
O 0.750 0.867 0.419  0.01
O 0.431 0.836 0.194  -0.01
O 0.750 0.612 0.924  -0.20
O 0.069 0.836 0.194  -0.01
O 0.562 0.333 0.322  -0.08
O 0.250 0.133 0.581  0.01
O 0.062 0.667 0.678  -0.08
Mg 0.250 0.523 0.430  0.00
Mg 0.750 0.971 0.029  0.00
Mg 0.250 0.029 0.971  0.00
Mg 0.750 0.477 0.570  0.00
Sb 0.000 0.000 0.500  0.01
Sb 0.500 0.000 0.500  0.01
Ni 0.500 0.500 0.000  1.38
Ni 0.000 0.500 0.000  1.38

## Properties
calculated total energy = -5.66 eV/atom
total magnetization = 1.90 Bohr magnetons per cell